[1]
DFT (PBE-GGA) results for a relaxed structure of NbCu3H.

Results
Space group: Pm-3m
Crystal system: cubic
Final energy: -4.729 eV/atom

Unit cell a=3.873 b=3.873 c=3.873 alpha=90.00 beta=90.00 gamma=90.00
Sites, in units of the cell vectors:
Nb: 0.000 0.000 0.000
Cu: 0.000 0.500 0.500
Cu: 0.500 0.000 0.500
Cu: 0.500 0.500 0.000
H: 0.500 0.500 0.500


[2]
DFT (PBE-GGA) results for a relaxed structure of NdNbNi.

Results
Space group: Amm2
Crystal system: orthorhombic
DFT formation energy: 0.13 eV per atom
Final energy: -6.747 eV/atom

Unit cell a=10.776 b=4.734 c=4.789 alpha=90.00 beta=90.00 gamma=90.00
Sites, in units of the cell vectors:
Nd: 0.166 0.000 0.000
Nd: 0.166 0.500 0.500
Nd: 0.834 0.000 0.000
Nd: 0.834 0.500 0.500
Nb: 0.380 0.000 0.501
Nb: 0.380 0.500 0.001
Nb: 0.620 0.000 0.501
Nb: 0.620 0.500 0.001
Ni: 0.000 0.000 0.498
Ni: 0.000 0.500 0.998
Ni: 0.500 0.000 0.027
Ni: 0.500 0.500 0.527


[3]
DFT (PBE-GGA) results for a relaxed structure of SnAsRhSe2.

Results
Space group: P4/mmm
Crystal system: tetragonal
E_form (uncorrected): 0.81 eV per formula unit
Final energy: -4.433 eV/atom

Unit cell a=5.181 b=5.181 c=4.535 alpha=90.00 beta=90.00 gamma=90.00
Sites, in units of the cell vectors:
Sn: 0.000 0.000 0.000
As: 0.500 0.500 0.000
Rh: 0.500 0.500 0.500
Se: 0.000 0.500 0.500
Se: 0.500 0.000 0.500


[4]
DFT (PBE-GGA) results for a relaxed structure of CeDyErTl.

Results
Space group: F-43m
Crystal system: cubic
DFT formation energy: 0.03 eV per atom
Final energy: -4.335 eV/atom

Unit cell a=7.620 b=7.620 c=7.620 alpha=90.00 beta=90.00 gamma=90.00
Sites, in units of the cell vectors:
Ce: 0.000 0.000 0.000
Ce: 0.000 0.500 0.500
Ce: 0.500 0.000 0.500
Ce: 0.500 0.500 0.000
Dy: 0.250 0.250 0.250
Dy: 0.250 0.750 0.750
Dy: 0.750 0.250 0.750
Dy: 0.750 0.750 0.250
Er: 0.250 0.250 0.750
Er: 0.250 0.750 0.250
Er: 0.750 0.250 0.250
Er: 0.750 0.750 0.750
Tl: 0.000 0.000 0.500
Tl: 0.000 0.500 0.000
Tl: 0.500 0.000 0.000
Tl: 0.500 0.500 0.500


[5]
DFT (PBE-GGA) results for a relaxed structure of SrRu2Pt.

Results
Space group: I4/mmm
Crystal system: tetragonal
DFT formation energy: 0.59 eV per atom
Final energy: -5.975 eV/atom

Unit cell a=4.120 b=4.120 c=8.465 alpha=90.00 beta=90.00 gamma=90.00
Sites, in units of the cell vectors:
Sr: 0.000 0.000 0.000
Sr: 0.500 0.500 0.500
Ru: 0.000 0.500 0.250
Ru: 0.000 0.500 0.750
Ru: 0.500 0.000 0.250
Ru: 0.500 0.000 0.750
Pt: 0.000 0.000 0.500
Pt: 0.500 0.500 0.000


[6]
DFT (PBE-GGA) results for a relaxed structure of LiBSBr2.

Results
Space group: P4/mmm
Crystal system: tetragonal
E_form (uncorrected): 3.55 eV per formula unit
Final energy: -2.503 eV/atom

Unit cell a=5.361 b=5.361 c=4.486 alpha=90.00 beta=90.00 gamma=90.00
Sites, in units of the cell vectors:
Li: 0.000 0.000 0.000
B: 0.500 0.500 0.000
S: 0.000 0.000 0.500
Br: 0.000 0.500 0.500
Br: 0.500 0.000 0.500


[7]
DFT (PBE-GGA) results for a relaxed structure of CdMoAs2.

Results
Space group: Cmm2
Crystal system: orthorhombic
DFT formation energy: 0.29 eV per atom
Final energy: -4.972 eV/atom

Unit cell a=3.416 b=4.668 c=10.169 alpha=90.00 beta=90.00 gamma=90.00
Sites, in units of the cell vectors:
Cd: 0.000 0.000 0.000
Cd: 0.500 0.500 0.000
Mo: 0.000 0.500 0.764
Mo: 0.500 0.000 0.764
As: 0.000 0.000 0.578
As: 0.000 0.500 0.234
As: 0.500 0.000 0.234
As: 0.500 0.500 0.578


[8]
DFT (PBE-GGA) results for a relaxed structure of Dy3ErIn2.

Results
Space group: Immm
Crystal system: orthorhombic
DFT formation energy: 0.11 eV per atom
Final energy: -3.864 eV/atom

Unit cell a=3.385 b=5.660 c=18.620 alpha=90.00 beta=90.00 gamma=90.00
Sites, in units of the cell vectors:
Dy: 0.000 0.000 0.000
Dy: 0.000 0.500 0.186
Dy: 0.000 0.500 0.814
Dy: 0.500 0.000 0.314
Dy: 0.500 0.000 0.686
Dy: 0.500 0.500 0.500
Er: 0.000 0.500 0.000
Er: 0.500 0.000 0.500
In: 0.000 0.500 0.354
In: 0.000 0.500 0.646
In: 0.500 0.000 0.146
In: 0.500 0.000 0.854


[9]
DFT (PBE-GGA) results for a relaxed structure of Au2C2Se.

Results
Space group: I4/mmm
Crystal system: tetragonal
E_form (uncorrected): 9.07 eV per formula unit
Final energy: -3.884 eV/atom

Unit cell a=3.729 b=3.729 c=11.039 alpha=90.00 beta=90.00 gamma=90.00
Sites, in units of the cell vectors:
Au: 0.000 0.000 0.136
Au: 0.000 0.000 0.864
Au: 0.500 0.500 0.364
Au: 0.500 0.500 0.636
C: 0.000 0.500 0.250
C: 0.000 0.500 0.750
C: 0.500 0.000 0.250
C: 0.500 0.000 0.750
Se: 0.000 0.000 0.500
Se: 0.500 0.500 0.000


[10]
DFT (PBE-GGA) results for a relaxed structure of KSrBr2.

Results
Space group: C2/m
Crystal system: monoclinic
E_form (uncorrected): -6.15 eV per formula unit
Final energy: -3.068 eV/atom

Unit cell a=8.025 b=4.634 c=11.026 alpha=90.00 beta=102.45 gamma=90.00
Sites, in units of the cell vectors:
K: 0.000 0.000 0.000
K: 0.500 0.500 0.000
Sr: 0.000 0.500 0.500
Sr: 0.500 0.000 0.500
Br: 0.210 0.000 0.646
Br: 0.290 0.500 0.354
Br: 0.710 0.500 0.646
Br: 0.790 0.000 0.354


[11]
DFT (PBE-GGA) results for a relaxed structure of PrNdEuMg.

Results
Space group: F-43m
Crystal system: cubic
DFT formation energy: 0.04 eV per atom
Final energy: -5.318 eV/atom

Unit cell a=8.107 b=8.107 c=8.107 alpha=90.00 beta=90.00 gamma=90.00
Sites, in units of the cell vectors:
Pr: 0.000 0.000 0.000
Pr: 0.000 0.500 0.500
Pr: 0.500 0.000 0.500
Pr: 0.500 0.500 0.000
Nd: 0.000 0.000 0.500
Nd: 0.000 0.500 0.000
Nd: 0.500 0.000 0.000
Nd: 0.500 0.500 0.500
Eu: 0.250 0.250 0.250
Eu: 0.250 0.750 0.750
Eu: 0.750 0.250 0.750
Eu: 0.750 0.750 0.250
Mg: 0.250 0.250 0.750
Mg: 0.250 0.750 0.250
Mg: 0.750 0.250 0.250
Mg: 0.750 0.750 0.750


[12]
DFT (PBE-GGA) results for a relaxed structure of Ba2AgAu2.

Results
Space group: I4/mmm
Crystal system: tetragonal
DFT formation energy: -0.47 eV per atom
Final energy: -3.116 eV/atom

Unit cell a=6.353 b=6.353 c=8.346 alpha=90.00 beta=90.00 gamma=90.00
Sites, in units of the cell vectors:
Ba: 0.000 0.500 0.250
Ba: 0.000 0.500 0.750
Ba: 0.500 0.000 0.250
Ba: 0.500 0.000 0.750
Ag: 0.000 0.000 0.000
Ag: 0.500 0.500 0.500
Au: 0.000 0.000 0.337
Au: 0.000 0.000 0.663
Au: 0.500 0.500 0.163
Au: 0.500 0.500 0.837


[13]
DFT (PBE-GGA) results for a relaxed structure of Np2Al3Ga4Ag.

Results
Space group: P-4m2
Crystal system: tetragonal
DFT formation energy: -0.08 eV per atom
Final energy: -5.287 eV/atom

Unit cell a=4.191 b=4.191 c=11.017 alpha=90.00 beta=90.00 gamma=90.00
Sites, in units of the cell vectors:
Np: 0.000 0.500 0.240
Np: 0.500 0.000 0.760
Al: 0.000 0.500 0.862
Al: 0.500 0.000 0.138
Al: 0.500 0.500 0.500
Ga: 0.000 0.000 0.000
Ga: 0.000 0.500 0.642
Ga: 0.500 0.000 0.358
Ga: 0.500 0.500 0.000
Ag: 0.000 0.000 0.500


[14]
DFT (PBE-GGA) results for a relaxed structure of InCuPO2.

Results
Space group: P4/mmm
Crystal system: tetragonal
E_form (uncorrected): 0.18 eV per formula unit
Final energy: -4.396 eV/atom

Unit cell a=3.819 b=3.819 c=4.758 alpha=90.00 beta=90.00 gamma=90.00
Sites, in units of the cell vectors:
In: 0.000 0.000 0.000
Cu: 0.500 0.500 0.500
P: 0.500 0.500 0.000
O: 0.000 0.500 0.500
O: 0.500 0.000 0.500


[15]
DFT (PBE-GGA) results for a relaxed structure of Pm3Tl2In3Ni.

Results
Space group: P-62m
Crystal system: hexagonal
DFT formation energy: -0.43 eV per atom
Final energy: -4.090 eV/atom

Unit cell a=7.688 b=7.688 c=4.493 alpha=90.00 beta=90.00 gamma=120.00
Sites, in units of the cell vectors:
Pm: 0.000 0.387 0.000
Pm: 0.387 0.000 0.000
Pm: 0.613 0.613 0.000
Tl: 0.333 0.667 0.500
Tl: 0.667 0.333 0.500
In: 0.000 0.769 0.500
In: 0.231 0.231 0.500
In: 0.769 0.000 0.500
Ni: 0.000 0.000 0.000


[16]
DFT (PBE-GGA) results for a relaxed structure of Ga3TePd.

Results
Space group: Pm-3m
Crystal system: cubic
E_form (uncorrected): -1.10 eV per formula unit
Final energy: -3.703 eV/atom

Unit cell a=4.928 b=4.928 c=4.928 alpha=90.00 beta=90.00 gamma=90.00
Sites, in units of the cell vectors:
Ga: 0.000 0.000 0.500
Ga: 0.000 0.500 0.000
Ga: 0.500 0.000 0.000
Te: 0.500 0.500 0.500
Pd: 0.000 0.000 0.000


[17]
DFT (PBE-GGA) results for a relaxed structure of EuScPtAu.

Results
Space group: F-43m
Crystal system: cubic
DFT formation energy: -0.80 eV per atom
Final energy: -7.281 eV/atom

Unit cell a=7.011 b=7.011 c=7.011 alpha=90.00 beta=90.00 gamma=90.00
Sites, in units of the cell vectors:
Eu: 0.000 0.000 0.000
Eu: 0.000 0.500 0.500
Eu: 0.500 0.000 0.500
Eu: 0.500 0.500 0.000
Sc: 0.000 0.000 0.500
Sc: 0.000 0.500 0.000
Sc: 0.500 0.000 0.000
Sc: 0.500 0.500 0.500
Pt: 0.250 0.250 0.250
Pt: 0.250 0.750 0.750
Pt: 0.750 0.250 0.750
Pt: 0.750 0.750 0.250
Au: 0.250 0.250 0.750
Au: 0.250 0.750 0.250
Au: 0.750 0.250 0.250
Au: 0.750 0.750 0.750


[18]
DFT (PBE-GGA) results for a relaxed structure of GaHg2SbS.

Results
Space group: P4/mmm
Crystal system: tetragonal
E_form (uncorrected): 2.35 eV per formula unit
Final energy: -1.905 eV/atom

Unit cell a=5.474 b=5.474 c=5.483 alpha=90.00 beta=90.00 gamma=90.00
Sites, in units of the cell vectors:
Ga: 0.000 0.000 0.000
Hg: 0.000 0.500 0.500
Hg: 0.500 0.000 0.500
Sb: 0.000 0.000 0.500
S: 0.500 0.500 0.000


[19]
DFT (PBE-GGA) results for a relaxed structure of CaSi3Ir.

Results
Space group: I4mm
Crystal system: tetragonal
E_form (uncorrected): -3.15 eV per formula unit
Final energy: -6.056 eV/atom

Unit cell a=4.208 b=4.208 c=9.947 alpha=90.00 beta=90.00 gamma=90.00
Sites, in units of the cell vectors:
Ca: 0.000 0.000 0.000
Ca: 0.500 0.500 0.500
Si: 0.000 0.000 0.410
Si: 0.000 0.500 0.260
Si: 0.000 0.500 0.760
Si: 0.500 0.000 0.260
Si: 0.500 0.000 0.760
Si: 0.500 0.500 0.910
Ir: 0.000 0.000 0.648
Ir: 0.500 0.500 0.148


[20]
DFT (PBE-GGA) results for a relaxed structure of YP.

Results
Space group: I4_1/amd
Crystal system: tetragonal
DFT formation energy: -1.06 eV per atom
Final energy: -6.993 eV/atom

Unit cell a=3.959 b=3.959 c=11.309 alpha=90.00 beta=90.00 gamma=90.00
Sites, in units of the cell vectors:
Y: 0.000 0.250 0.375
Y: 0.000 0.750 0.625
Y: 0.500 0.250 0.125
Y: 0.500 0.750 0.875
P: 0.000 0.250 0.875
P: 0.000 0.750 0.125
P: 0.500 0.250 0.625
P: 0.500 0.750 0.375